Record 1
Here is an optimized crystal structure of YSc5Se6 from the Alexandria database. Energies are from PBE.

Properties
total DFT energy (no corrections)	-78.4	eV per cell
energy relative to the elements, uncorrected	-1.62	eV/atom
M_tot	0.000	μB/atom
calculated volume	21.16	Å³ per atom

Unit cell a=6.775 b=6.775 c=6.783 alpha=99.53 beta=99.53 gamma=120.18
Sites, in units of the cell vectors:
Y 0.000 0.000 0.000
Sc 0.158 0.842 0.500
Sc 0.335 0.665 0.000
Sc 0.500 0.500 0.500
Sc 0.665 0.335 0.000
Sc 0.842 0.158 0.500
Se 0.085 0.430 0.257
Se 0.260 0.260 0.748
Se 0.430 0.085 0.257
Se 0.570 0.915 0.743
Se 0.740 0.740 0.252
Se 0.915 0.570 0.743



Record 2
Here is an optimized crystal structure of Y5Th3As8 from the Alexandria database. Energies are from PBE.

Properties
DFT formation energy	-1506	meV per atom
total DFT energy (no corrections)	-115.9	eV per cell
M_tot	0.000	μB/atom
calculated volume	25.76	Å³ per atom

Unit cell a=8.342 b=8.342 c=8.342 alpha=60.18 beta=60.18 gamma=60.18
Sites, in units of the cell vectors:
Y 0.000 0.000 0.000
Y 0.000 0.500 0.500
Y 0.500 0.000 0.500
Y 0.500 0.500 0.000
Y 0.500 0.500 0.500
Th 0.000 0.000 0.500
Th 0.000 0.500 0.000
Th 0.500 0.000 0.000
As 0.250 0.250 0.746
As 0.250 0.746 0.250
As 0.253 0.253 0.253
As 0.254 0.750 0.750
As 0.746 0.250 0.250
As 0.747 0.747 0.747
As 0.750 0.254 0.750
As 0.750 0.750 0.254



Record 3
Here is an optimized crystal structure of AcNd5Se8 from the Alexandria database. Energies are from PBE.

Properties
total DFT energy (no corrections)	-82.0	eV per cell
energy relative to the elements, uncorrected	-1.87	eV/atom
M_tot	0.000	μB/atom
calculated volume	26.38	Å³ per atom

Unit cell a=7.828 b=7.828 c=7.828 alpha=109.65 beta=109.65 gamma=109.11
Sites, in units of the cell vectors:
Ac 0.000 0.000 0.000
Nd 0.126 0.262 0.636
Nd 0.250 0.750 0.500
Nd 0.510 0.874 0.136
Nd 0.627 0.490 0.364
Nd 0.738 0.373 0.864
Se 0.025 0.619 0.749
Se 0.231 0.483 0.106
Se 0.377 0.124 0.894
Se 0.381 0.130 0.406
Se 0.517 0.623 0.748
Se 0.724 0.975 0.594
Se 0.870 0.276 0.251
Se 0.876 0.769 0.252



Record 4
Here is an optimized crystal structure of Pu2MgF8 from the Alexandria database. Energies are from PBE.

Properties
ΔE to the lowest computed polymorph	0.0	meV per atom
total DFT energy (no corrections)	-83.9	eV per cell
energy relative to the elements, uncorrected	-3.51	eV/atom
M_tot	0.909	μB/atom
calculated volume	18.14	Å³ per atom

Unit cell a=4.172 b=7.024 c=7.136 alpha=92.48 beta=90.00 gamma=107.23
Sites, in units of the cell vectors:
Pu 0.000 0.000 0.000
Pu 0.484 0.969 0.497
Mg 0.997 0.485 0.747
F 0.014 0.024 0.654
F 0.122 0.330 0.931
F 0.278 0.638 0.563
F 0.473 0.943 0.843
F 0.533 0.080 0.182
F 0.662 0.300 0.593
F 0.844 0.669 0.899
F 0.938 0.889 0.314



Record 5
Here is an optimized crystal structure of NiTe2As from the Alexandria database. Energies are from PBE.

Properties
total DFT energy (no corrections)	-16.2	eV per cell
energy relative to the elements, uncorrected	0.12	eV/atom
M_tot	0.000	μB/atom
calculated volume	23.51	Å³ per atom

Unit cell a=3.075 b=3.075 c=9.947 alpha=90.00 beta=90.00 gamma=90.00
Sites, in units of the cell vectors:
Ni 0.000 0.000 0.000
Te 0.000 0.000 0.560
Te 0.500 0.500 0.197
As 0.500 0.500 0.871



Record 6
Here is an optimized crystal structure of Re2SbSe from the Alexandria database. Energies are from PBE.

Properties
ΔE to the lowest computed polymorph	837.5	meV per atom
total DFT energy (no corrections)	-28.4	eV per cell
energy relative to the elements, uncorrected	1.02	eV/atom
M_tot	0.000	μB/atom
calculated volume	17.60	Å³ per atom

Unit cell a=3.067 b=4.404 c=5.212 alpha=90.00 beta=90.00 gamma=90.00
Sites, in units of the cell vectors:
Re 0.000 0.000 0.000
Re 0.500 0.000 0.500
Sb 0.000 0.500 0.500
Se 0.500 0.500 0.000



Record 7
Here is an optimized crystal structure of SrLi2CuAu4 from the Alexandria database. Energies are from PBE.

Properties
DFT formation energy	-461	meV per atom
total DFT energy (no corrections)	-26.4	eV per cell
M_tot	0.000	μB/atom
calculated volume	19.76	Å³ per atom

Unit cell a=9.584 b=9.584 c=9.584 alpha=26.82 beta=26.82 gamma=26.82
Sites, in units of the cell vectors:
Sr 0.000 0.000 0.000
Li 0.231 0.231 0.231
Li 0.769 0.769 0.769
Cu 0.500 0.500 0.500
Au 0.132 0.132 0.132
Au 0.405 0.405 0.405
Au 0.595 0.595 0.595
Au 0.868 0.868 0.868



Record 8
Here is an optimized crystal structure of Li3Tm2RuO6 from the Alexandria database. Energies are from PBE.

Properties
total DFT energy (no corrections)	-81.8	eV per cell
energy relative to the elements, uncorrected	-2.34	eV/atom
M_tot	0.084	μB/atom
calculated volume	11.19	Å³ per atom

Unit cell a=5.578 b=5.578 c=5.332 alpha=98.11 beta=98.11 gamma=122.20
Sites, in units of the cell vectors:
Li 0.000 0.000 0.000
Li 0.367 0.633 0.000
Li 0.633 0.367 0.000
Tm 0.164 0.836 0.500
Tm 0.836 0.164 0.500
Ru 0.500 0.500 0.500
O 0.125 0.442 0.267
O 0.240 0.240 0.748
O 0.442 0.125 0.267
O 0.558 0.875 0.733
O 0.760 0.760 0.252
O 0.875 0.558 0.733